(1)
MgTi2S: optimized geometry, PBE-GGA.

Lattice parameters (Å, degrees): 4.5197 4.5197 4.5197 60.00 60.00 60.00
Last column: nearest neighbours and their distance in Å.
Positions (direct):
Mg 0.0000 0.0000 0.0000  8 Ti 2.77
Ti 0.2500 0.2500 0.2500  4 S 2.77, 4 Mg 2.77
Ti 0.7500 0.7500 0.7500  4 S 2.77, 4 Mg 2.77
S 0.5000 0.5000 0.5000  8 Ti 2.77


(2)
MgTi2S: optimized geometry, PBE-GGA.

Lattice parameters (Å, degrees): 7.6484 7.6484 7.6484 25.52 25.52 25.52
Last column: nearest neighbours and their distance in Å.
Positions (direct):
Mg 0.0000 0.0000 0.0000  6 Ti 3.09-3.10, 6 Mg 3.38
Ti 0.2249 0.2249 0.2249  3 S 2.34
Ti 0.4413 0.4413 0.4413  3 S 2.34
S 0.8330 0.8330 0.8330  6 Ti 2.34


(3)
MgTi2S: optimized geometry, PBE-GGA.

Lattice parameters (Å, degrees): 9.6699 9.6699 9.6699 156.14 156.14 34.00
Last column: nearest neighbours and their distance in Å.
Positions (direct):
Mg 0.0000 0.0000 0.0000  4 S 2.83, 4 Ti 2.91
Mg 0.7500 0.2500 0.5000  4 S 2.83, 4 Ti 2.91
Ti 0.2419 0.6250 0.1169  2 Ti 2.26
Ti 0.3750 0.4919 0.6169  2 Ti 2.26
Ti 0.5081 0.1250 0.8831  2 Ti 2.26
Ti 0.8750 0.7581 0.3831  2 Ti 2.26
S 0.2500 0.7500 0.5000  4 Ti 2.57, 4 Mg 2.83
S 0.5000 0.5000 0.0000  4 Ti 2.57, 4 Mg 2.83


Short version: (2), (3), (1), most stable first.


(1)
MgTiS3: optimized geometry, PBE-GGA.

Lattice parameters (Å, degrees): 4.6980 4.6980 4.6980 90.00 90.00 90.00
Last column: nearest neighbours and their distance in Å.
Positions (direct):
Mg 0.0000 0.0000 0.0000  12 S 3.32
Ti 0.5000 0.5000 0.5000  6 S 2.35
S 0.0000 0.5000 0.5000  2 Ti 2.35
S 0.5000 0.0000 0.5000  2 Ti 2.35
S 0.5000 0.5000 0.0000  2 Ti 2.35


(2)
MgTiS3: optimized geometry, PBE-GGA.

Lattice parameters (Å, degrees): 4.6525 4.6525 4.6525 90.00 90.00 90.00
Last column: nearest neighbours and their distance in Å.
Positions (direct):
Mg 0.0000 0.0000 0.0000  6 S 2.33
Ti 0.5000 0.5000 0.5000  12 S 3.29
S 0.0000 0.0000 0.5000  2 Mg 2.33
S 0.0000 0.5000 0.0000  2 Mg 2.33
S 0.5000 0.0000 0.0000  2 Mg 2.33


Short version: (1), (2), most stable first.


(1)
Mg3TiS: optimized geometry, PBE-GGA.

Lattice parameters (Å, degrees): 5.4205 5.4205 5.4205 90.00 90.00 90.00
Last column: nearest neighbours and their distance in Å.
Positions (direct):
Mg 0.0000 0.0000 0.5000  2 Ti 2.71
Mg 0.0000 0.5000 0.0000  2 Ti 2.71
Mg 0.5000 0.0000 0.0000  2 Ti 2.71
Ti 0.0000 0.0000 0.0000  6 Mg 2.71
S 0.5000 0.5000 0.5000  12 Mg 3.83


(2)
Mg3TiS: optimized geometry, PBE-GGA.

Lattice parameters (Å, degrees): 4.8674 4.8674 4.8674 90.00 90.00 90.00
Last column: nearest neighbours and their distance in Å.
Positions (direct):
Mg 0.0000 0.0000 0.5000  2 S 2.43
Mg 0.0000 0.5000 0.0000  2 S 2.43
Mg 0.5000 0.0000 0.0000  2 S 2.43
Ti 0.5000 0.5000 0.5000  12 Mg 3.44
S 0.0000 0.0000 0.0000  6 Mg 2.43


Short version: (2), (1), most stable first.


(1)
Mg2TlS2: optimized geometry, PBE-GGA.

Lattice parameters (Å, degrees): 7.1715 7.1715 7.1715 144.39 144.39 51.24
Last column: nearest neighbours and their distance in Å.
Positions (direct):
Mg 0.2500 0.7500 0.5000  4 S 2.52
Mg 0.7500 0.2500 0.5000  4 S 2.52
Tl 0.0000 0.0000 0.0000  8 S 3.68, 8 Mg 3.91
S 0.3461 0.3461 0.0000  4 Mg 2.52
S 0.6539 0.6539 0.0000  4 Mg 2.52


(2)
Mg2TlS2: optimized geometry, PBE-GGA.

Lattice parameters (Å, degrees): 7.7584 7.7584 3.4206 90.00 90.00 90.00
Last column: nearest neighbours and their distance in Å.
Positions (direct):
Mg 0.1439 0.3561 0.0000  6 S 2.82-2.88, 1 Mg 3.16
Mg 0.3561 0.8561 0.0000  6 S 2.82-2.88, 1 Mg 3.16
Mg 0.6439 0.1439 0.0000  6 S 2.82-2.88, 1 Mg 3.16
Mg 0.8561 0.6439 0.0000  6 S 2.82-2.88, 1 Mg 3.16
Tl 0.0000 0.0000 0.5000  4 S 2.97
Tl 0.5000 0.5000 0.5000  4 S 2.97
S 0.1455 0.6455 0.5000  6 Mg 2.82-2.88, 2 Tl 2.97
S 0.3545 0.1455 0.5000  6 Mg 2.82-2.88, 2 Tl 2.97
S 0.6455 0.8545 0.5000  6 Mg 2.82-2.88, 2 Tl 2.97
S 0.8545 0.3545 0.5000  6 Mg 2.82-2.88, 2 Tl 2.97


Short version: (1), (2), most stable first.


(1)
MgTlS: optimized geometry, PBE-GGA.

Lattice parameters (Å, degrees): 3.9854 3.9875 11.9355 89.79 80.42 60.03
Last column: nearest neighbours and their distance in Å.
Positions (direct):
Mg 0.0000 0.0000 0.0000  4 S 2.43-2.50
Mg 0.1493 0.4214 0.2834  3 S 2.44
Tl 0.3341 0.8356 0.4955  3 Tl 3.26-3.27, 3 Mg 3.36-3.41
Tl 0.5352 0.2360 0.6932  1 S 2.82
S 0.3769 0.3125 0.9338  3 Mg 2.43
S 0.8622 0.0656 0.2134  4 Mg 2.44-2.50


(2)
MgTlS: optimized geometry, PBE-GGA.

Lattice parameters (Å, degrees): 3.9291 6.4936 6.7916 69.01 89.99 89.94
Last column: nearest neighbours and their distance in Å.
Positions (direct):
Mg 0.0000 0.0000 0.0000  3 S 2.42
Mg 0.4987 0.9996 0.5001  3 S 2.42
Tl 0.4981 0.6021 0.9667  1 S 2.81
Tl 0.9957 0.6021 0.4664  1 S 2.81
S 0.4994 0.1394 0.1187  3 Mg 2.42
S 0.9982 0.1394 0.6187  3 Mg 2.42


(3)
MgTlS: optimized geometry, PBE-GGA.

Lattice parameters (Å, degrees): 4.1221 7.0783 5.1056 90.00 90.00 90.00
Last column: nearest neighbours and their distance in Å.
Positions (direct):
Mg 0.0000 0.0833 0.0000  4 S 2.50-2.56
Mg 0.5000 0.9167 0.5000  4 S 2.50-2.56
Tl 0.0000 0.5305 0.7105  1 S 3.12, 4 Tl 3.31
Tl 0.5000 0.4695 0.2105  1 S 3.12, 4 Tl 3.31
S 0.0000 0.1170 0.4999  4 Mg 2.50-2.56
S 0.5000 0.8830 0.9999  4 Mg 2.50-2.56


Short version: (1), (3), (2), most stable first.


(1)
Mg3TlS: optimized geometry, PBE-GGA.

Lattice parameters (Å, degrees): 4.9089 4.9089 4.9089 90.00 90.00 90.00
Last column: nearest neighbours and their distance in Å.
Positions (direct):
Mg 0.0000 0.0000 0.5000  2 S 2.45
Mg 0.0000 0.5000 0.0000  2 S 2.45
Mg 0.5000 0.0000 0.0000  2 S 2.45
Tl 0.5000 0.5000 0.5000  12 Mg 3.47
S 0.0000 0.0000 0.0000  6 Mg 2.45


(2)
Mg3TlS: optimized geometry, PBE-GGA.

Lattice parameters (Å, degrees): 5.2640 5.2640 5.2640 90.00 90.00 90.00
Last column: nearest neighbours and their distance in Å.
Positions (direct):
Mg 0.0000 0.0000 0.5000  2 Tl 2.63
Mg 0.0000 0.5000 0.0000  2 Tl 2.63
Mg 0.5000 0.0000 0.0000  2 Tl 2.63
Tl 0.0000 0.0000 0.0000  6 Mg 2.63
S 0.5000 0.5000 0.5000  12 Mg 3.72


Short version: (1), (2), most stable first.


(1)
TmMgS2: optimized geometry, PBE-GGA.

Lattice parameters (Å, degrees): 6.7369 6.7369 6.7369 31.96 31.96 31.96
Last column: nearest neighbours and their distance in Å.
Positions (direct):
Tm 0.0000 0.0000 0.0000  6 S 2.74
Mg 0.5000 0.5000 0.5000  6 S 2.61
S 0.2444 0.2444 0.2444  3 Mg 2.61, 3 Tm 2.74
S 0.7556 0.7556 0.7556  3 Mg 2.61, 3 Tm 2.74


(2)
TmMgS2: optimized geometry, PBE-GGA.

Lattice parameters (Å, degrees): 7.4471 7.4471 7.4471 31.79 31.79 31.79
Last column: nearest neighbours and their distance in Å.
Positions (direct):
Tm 0.0000 0.0000 0.0000  4 S 2.63-2.67
Mg 0.4889 0.4889 0.4889  4 S 2.45-2.50
S 0.1240 0.1240 0.1240  3 Mg 2.45, 1 Tm 2.63
S 0.6070 0.6070 0.6070  1 Mg 2.50, 3 Tm 2.67


Short version: (1), (2), most stable first.


(1)
MgVS3: optimized geometry, PBE-GGA.

Lattice parameters (Å, degrees): 7.0265 7.0265 11.9621 115.19 115.19 56.60
Last column: nearest neighbours and their distance in Å.
Positions (direct):
Mg 0.0000 0.0000 0.0000  5 S 2.51-2.56
Mg 0.0003 0.0003 0.4997  5 S 2.51-2.56
Mg 0.8538 0.8538 0.1766  5 S 2.51-2.56
Mg 0.8548 0.8548 0.6774  5 S 2.51-2.57
V 0.3660 0.3660 0.3774  1 S 2.09
V 0.3666 0.3666 0.8773  1 S 2.09
V 0.4877 0.4877 0.1879  1 S 2.09
V 0.4887 0.4887 0.6887  1 S 2.09
S 0.1299 0.5992 0.0276  2 V 2.37-2.39, 2 Mg 2.56
S 0.1307 0.6003 0.5284  2 V 2.37-2.39, 2 Mg 2.56
S 0.1943 0.1943 0.2115  1 V 2.09
S 0.1957 0.1957 0.7103  1 V 2.09
S 0.2543 0.7236 0.3399  2 V 2.37-2.39, 2 Mg 2.56
S 0.2553 0.7249 0.8407  2 V 2.37-2.39, 2 Mg 2.56-2.57
S 0.5992 0.1299 0.0276  2 V 2.37-2.39, 2 Mg 2.56
S 0.6003 0.1307 0.5284  2 V 2.37-2.39, 2 Mg 2.56
S 0.6590 0.6590 0.1927  1 V 2.09
S 0.6601 0.6601 0.6937  1 V 2.09
S 0.7236 0.2543 0.3399  2 V 2.37-2.39, 2 Mg 2.56
S 0.7249 0.2553 0.8407  2 V 2.37-2.39, 2 Mg 2.56-2.57


(2)
MgVS3: optimized geometry, PBE-GGA.

Lattice parameters (Å, degrees): 4.7097 4.7097 4.7097 90.00 90.00 90.00
Last column: nearest neighbours and their distance in Å.
Positions (direct):
Mg 0.0000 0.0000 0.0000  6 S 2.35
V 0.5000 0.5000 0.5000  12 S 3.33
S 0.0000 0.0000 0.5000  2 Mg 2.35
S 0.0000 0.5000 0.0000  2 Mg 2.35
S 0.5000 0.0000 0.0000  2 Mg 2.35


(3)
MgVS3: optimized geometry, PBE-GGA.

Lattice parameters (Å, degrees): 4.6065 4.6065 4.6065 90.00 90.00 90.00
Last column: nearest neighbours and their distance in Å.
Positions (direct):
Mg 0.0000 0.0000 0.0000  12 S 3.26
V 0.5000 0.5000 0.5000  6 S 2.30
S 0.0000 0.5000 0.5000  2 V 2.30
S 0.5000 0.0000 0.5000  2 V 2.30
S 0.5000 0.5000 0.0000  2 V 2.30


Short version: (1), (3), (2), most stable first.